{"formula": "ScCd2As", "functional": "PBEsol", "state": "optimized geometry", "dft_energy_ev_per_atom": -3.511, "magnetic_moment_mub_per_atom": 0.006, "e_form_mev_per_atom": 15, "crystal_system": "trigonal", "lattice": [[3.191, 0.000, 0.000], [1.596, 2.764, 0.000], [1.596, 0.921, 9.547]], "species": ["Sc", "Cd", "Cd", "As"], "fractional_positions": [[0.000, 0.000, 0.000], [0.752, 0.752, 0.744], [0.248, 0.248, 0.256], [0.500, 0.500, 0.500]]}

=====

{"formula": "Na3LiV4O12", "functional": "PBEsol", "state": "optimized geometry", "formation_energy_uncorrected_ev_per_atom": -2.30, "dft_energy_ev_per_atom": -7.681, "magnetic_moment_mub_per_atom": 0.000, "crystal_system": "monoclinic", "lattice": [[-4.361, 1.190, 3.706], [1.967, -2.827, 6.055], [1.868, 5.940, 3.124]], "species": ["O", "O", "O", "O", "O", "O", "O", "O", "O", "O", "O", "O", "V", "V", "V", "V", "Na", "Na", "Na", "Li"], "fractional_positions": [[0.287, 0.654, 0.649], [0.713, 0.351, 0.346], [0.563, 0.896, 0.384], [0.882, 0.782, 0.979], [0.206, 0.357, 0.362], [0.938, 0.097, 0.604], [0.420, 0.973, 0.777], [0.118, 0.021, 0.218], [0.062, 0.396, 0.903], [0.437, 0.616, 0.104], [0.580, 0.223, 0.027], [0.794, 0.638, 0.643], [0.509, 0.799, 0.614], [0.001, 0.199, 0.378], [0.999, 0.622, 0.801], [0.491, 0.386, 0.201], [0.500, 0.287, 0.713], [0.000, 0.084, 0.916], [0.000, 0.717, 0.283], [0.500, 0.901, 0.099]]}

=====

{"formula": "SrIn3Ge", "functional": "PBEsol", "state": "optimized geometry", "dft_energy_ev_per_atom": -3.092, "magnetic_moment_mub_per_atom": 0.000, "e_form_mev_per_atom": 53, "crystal_system": "cubic", "lattice": [[-4.914, 1.824, 1.103], [-1.117, 0.156, -5.236], [-1.816, -5.033, 0.237]], "species": ["In", "In", "In", "Ge", "Sr"], "fractional_positions": [[0.500, 0.000, 0.000], [0.000, 0.000, 0.500], [0.000, 0.500, 0.000], [0.000, 0.000, 0.000], [0.500, 0.500, 0.500]]}

=====

{"formula": "KMo2Ru", "functional": "PBEsol", "state": "optimized geometry", "dft_energy_ev_per_atom": -7.382, "magnetic_moment_mub_per_atom": 0.000, "e_form_mev_per_atom": 1328, "crystal_system": "orthorhombic", "relative_energy_ev_per_atom": 0.282, "lattice": [[2.896, 0.000, 0.000], [0.000, 5.180, 0.000], [-1.448, -2.590, 4.749]], "species": ["K", "Mo", "Mo", "Ru"], "fractional_positions": [[0.248, 0.748, 0.496], [0.751, 0.251, 0.502], [0.033, 0.033, 0.067], [0.468, 0.468, 0.935]]}

=====

{"formula": "HfNb2VC4", "functional": "PBEsol", "state": "optimized geometry", "dft_energy_ev_per_atom": -10.664, "magnetic_moment_mub_per_atom": 0.000, "e_form_mev_per_atom": -619, "crystal_system": "trigonal", "lattice": [[3.134, 0.000, 0.000], [1.567, 2.714, 0.000], [1.567, 0.905, 10.172]], "species": ["C", "C", "C", "C", "V", "Hf", "Nb", "Nb"], "fractional_positions": [[0.625, 0.625, 0.125], [0.380, 0.380, 0.859], [0.873, 0.873, 0.381], [0.121, 0.121, 0.636], [0.752, 0.752, 0.745], [0.003, 0.003, 0.990], [0.497, 0.497, 0.510], [0.249, 0.249, 0.254]]}

=====

{"formula": "Rb2PH4Se3O2", "functional": "PBEsol", "state": "optimized geometry", "dft_energy_ev_per_atom": -4.507, "magnetic_moment_mub_per_atom": 0.000, "crystal_system": "orthorhombic", "lattice": [[-2.580, 6.283, 3.061], [-1.936, -4.823, 8.265], [11.244, 2.595, 4.149]], "species": ["O", "O", "O", "O", "O", "O", "O", "O", "H", "H", "H", "H", "H", "H", "H", "H", "H", "H", "H", "H", "H", "H", "H", "H", "Rb", "Rb", "Rb", "Rb", "Rb", "Rb", "Rb", "Rb", "Se", "Se", "Se", "Se", "Se", "Se", "Se", "Se", "Se", "Se", "Se", "Se", "P", "P", "P", "P"], "fractional_positions": [[0.751, 0.578, 0.331], [0.751, 0.422, 0.669], [0.251, 0.078, 0.169], [0.249, 0.422, 0.669], [0.749, 0.922, 0.831], [0.251, 0.922, 0.831], [0.749, 0.078, 0.169], [0.249, 0.578, 0.331], [0.184, 0.835, 0.820], [0.316, 0.665, 0.320], [0.816, 0.165, 0.180], [0.808, 0.559, 0.259], [0.684, 0.335, 0.680], [0.684, 0.665, 0.320], [0.192, 0.441, 0.741], [0.316, 0.335, 0.680], [0.692, 0.941, 0.759], [0.308, 0.059, 0.241], [0.192, 0.559, 0.259], [0.816, 0.835, 0.820], [0.184, 0.165, 0.180], [0.808, 0.441, 0.741], [0.692, 0.059, 0.241], [0.308, 0.941, 0.759], [0.500, 0.385, 0.169], [0.500, 0.000, 0.000], [0.500, 0.500, 0.500], [0.000, 0.000, 0.000], [0.000, 0.115, 0.669], [0.000, 0.500, 0.500], [0.000, 0.885, 0.331], [0.500, 0.615, 0.831], [0.245, 0.311, 0.929], [0.255, 0.189, 0.429], [0.745, 0.811, 0.571], [0.500, 0.852, 0.314], [0.255, 0.811, 0.571], [0.245, 0.689, 0.071], [0.000, 0.352, 0.186], [0.500, 0.148, 0.686], [0.000, 0.648, 0.814], [0.755, 0.689, 0.071], [0.755, 0.311, 0.929], [0.745, 0.189, 0.429], [0.000, 0.616, 0.993], [0.500, 0.116, 0.507], [0.000, 0.384, 0.007], [0.500, 0.884, 0.493]]}

=====

{"formula": "Li4Y3VO8", "functional": "PBEsol", "state": "optimized geometry", "formation_energy_uncorrected_ev_per_atom": -2.73, "dft_energy_ev_per_atom": -7.729, "magnetic_moment_mub_per_atom": 0.125, "crystal_system": "monoclinic", "relative_energy_ev_per_atom": 0.000, "lattice": [[-5.272, -1.404, 1.693], [4.240, -2.565, 2.841], [0.111, 4.743, 3.882]], "species": ["O", "O", "O", "O", "O", "O", "O", "O", "V", "Li", "Li", "Li", "Li", "Y", "Y", "Y"], "fractional_positions": [[0.223, 0.260, 0.731], [0.214, 0.786, 0.500], [0.247, 0.241, 0.258], [0.740, 0.777, 0.269], [0.737, 0.263, 0.000], [0.790, 0.210, 0.500], [0.276, 0.724, 0.000], [0.759, 0.753, 0.742], [0.999, 0.001, 0.500], [0.020, 0.461, 0.247], [0.973, 0.027, 0.000], [0.539, 0.980, 0.753], [0.483, 0.517, 0.500], [0.503, 0.497, 0.000], [0.487, 0.005, 0.259], [0.995, 0.513, 0.741]]}

=====

{"formula": "GeMoIO2", "functional": "PBEsol", "state": "optimized geometry", "formation_energy_uncorrected_ev_per_atom": -0.52, "dft_energy_ev_per_atom": -6.311, "magnetic_moment_mub_per_atom": 0.178, "crystal_system": "tetragonal", "relative_energy_ev_per_atom": 0.000, "lattice": [[3.909, 0.000, 0.000], [0.000, 3.909, 0.000], [0.000, 0.000, 5.787]], "species": ["I", "O", "O", "Mo", "Ge"], "fractional_positions": [[0.000, 0.000, 0.500], [0.000, 0.500, 0.000], [0.500, 0.000, 0.000], [0.000, 0.000, 0.000], [0.500, 0.500, 0.500]]}

=====

{"formula": "Li2CaTa", "functional": "PBEsol", "state": "optimized geometry", "dft_energy_ev_per_atom": -4.003, "magnetic_moment_mub_per_atom": 0.116, "e_form_mev_per_atom": 651, "crystal_system": "orthorhombic", "relative_energy_ev_per_atom": 0.067, "lattice": [[2.833, 0.000, 0.000], [0.000, 5.221, 0.000], [-1.417, -2.610, 5.266]], "species": ["Ta", "Ca", "Li", "Li"], "fractional_positions": [[0.523, 0.523, 0.046], [0.734, 0.234, 0.468], [0.271, 0.771, 0.541], [0.973, 0.973, 0.945]]}

=====

{"formula": "LiHgCl", "functional": "PBEsol", "state": "optimized geometry", "formation_energy_uncorrected_ev_per_atom": -0.80, "dft_energy_ev_per_atom": -2.318, "magnetic_moment_mub_per_atom": 0.000, "crystal_system": "cubic", "relative_energy_ev_per_atom": 0.235, "lattice": [[-3.307, -1.562, -2.881], [-2.504, -3.753, 1.148], [-4.490, 0.457, 1.144]], "species": ["Cl", "Li", "Hg"], "fractional_positions": [[0.000, 0.000, 0.000], [0.750, 0.750, 0.750], [0.500, 0.500, 0.500]]}

=====

{"formula": "K2Ag2Hg", "functional": "PBEsol", "state": "optimized geometry", "dft_energy_ev_per_atom": -1.848, "magnetic_moment_mub_per_atom": 0.000, "e_form_mev_per_atom": 43, "crystal_system": "tetragonal", "relative_energy_ev_per_atom": 0.002, "lattice": [[-3.440, 1.387, 0.889], [-1.556, -3.412, -0.699], [3.956, -1.663, 9.718]], "species": ["K", "K", "Hg", "Ag", "Ag"], "fractional_positions": [[0.613, 0.613, 0.226], [0.387, 0.387, 0.774], [0.000, 0.000, 0.000], [0.250, 0.750, 0.500], [0.750, 0.250, 0.500]]}

=====

{"formula": "YOs2W", "functional": "PBEsol", "state": "optimized geometry", "dft_energy_ev_per_atom": -11.055, "magnetic_moment_mub_per_atom": 0.000, "e_form_mev_per_atom": 211, "crystal_system": "tetragonal", "lattice": [[3.109, 0.000, 0.000], [0.000, 4.617, 0.000], [0.000, 0.000, 4.617]], "species": ["Os", "Os", "W", "Y"], "fractional_positions": [[0.000, 0.000, 0.500], [0.000, 0.500, 0.000], [0.500, 0.500, 0.500], [0.500, 0.000, 0.000]]}